Material: Th5Tl3Hg3
Method: DFT, PBE
State: relaxed

Computed properties:
VASP energy in eV per atom: -3.808
Symmetry: P-62m, No. 189
Crystal system: hexagonal

Structure (POSCAR):
```
Th5Tl3Hg3
1.0
3.3988 0.0000 0.0000
0.0000 9.2637 -5.3484
0.0000 0.0000 10.6968
Th Tl Hg
5 3 3
Cartesian
1.6994 6.1758 0.0000
1.6994 3.0879 5.3484
1.6994 3.1977 -1.8462
1.6994 6.0661 3.5022
1.6994 0.0000 3.6923
0.0000 5.6203 -3.2449
0.0000 0.0000 6.4898
0.0000 3.6434 2.1035
1.6994 7.7969 -4.5016
1.6994 1.4668 0.8469
1.6994 0.0000 9.0031
```



Material: Th3Tl2Hg3
Method: DFT, PBE
State: relaxed

Computed properties:
VASP energy in eV per atom: -3.521
Symmetry: P6_3/mcm, No. 193
Crystal system: hexagonal

Structure (POSCAR):
```
Th3Tl2Hg3
1.0
-0.8977 -3.6123 5.1786
-1.0068 -7.3528 -5.3035
8.2756 2.3219 3.0542
Th Tl Hg
6 4 6
Cartesian
-0.9367 -4.6332 2.4962
4.6935 -6.4238 2.2232
1.4921 -2.1017 4.6831
-0.9678 -6.3319 -2.6211
1.6775 -2.2195 0.7061
5.8857 0.8112 3.5497
5.1814 -0.9030 0.2683
1.6385 -5.9341 0.0717
2.0873 -4.1279 -2.5176
4.7326 -2.7092 2.8576
-1.2951 -7.2506 0.6083
2.1060 -4.6329 3.0239
4.4380 -1.2752 5.7703
-0.6094 -3.7145 -0.7332
4.2650 -4.0104 -0.0946
2.9399 -0.0153 2.4625
```



Material: Th4TlHg2
Method: DFT, PBE
State: relaxed

Computed properties:
VASP energy in eV per atom: -4.626
Symmetry: I4/mmm, No. 139
Crystal system: tetragonal
Offset from the most stable computed form in eV per atom: 0.0000

Structure (POSCAR):
```
Th4TlHg2
1.0
-2.0670 -4.0718 -4.7449
5.7137 2.7152 -1.8295
0.7831 -3.4129 5.5772
Tl Hg Th
1 2 4
Cartesian
0.0000 0.0000 0.0000
1.8234 -0.6783 -3.2872
-0.6419 -3.7423 0.4161
-1.0335 -2.0359 -2.3724
2.2149 -2.3847 -0.4986
0.3915 -1.7064 2.7886
2.8569 1.3576 -0.9147
```



Material: Th4Tl5Hg2
Method: DFT, PBE
State: relaxed

Computed properties:
VASP energy in eV per atom: -3.968
Symmetry: P2/m, No. 10
Crystal system: monoclinic

Structure (POSCAR):
```
Th4Tl5Hg2
1.0
-3.0310 1.1637 0.9590
-0.0227 -5.4116 6.4950
4.8251 7.8789 5.6887
Th Tl Hg
4 5 2
Cartesian
1.1784 1.0803 8.3887
2.7445 6.6227 6.6127
0.5930 2.5507 4.7541
-0.9731 -2.9916 6.5301
1.4346 -0.7070 5.3919
0.7759 0.2444 2.1556
-0.0114 -2.7058 3.2475
4.0265 2.2229 10.0281
3.3678 3.1743 6.7918
3.0545 4.6698 3.9872
1.7478 -2.2025 8.1965
```



Material: Th2Tl5Hg
Method: DFT, PBE
State: relaxed

Computed properties:
VASP energy in eV per atom: -3.542
Symmetry: Pbam, No. 55
Crystal system: orthorhombic

Structure (POSCAR):
```
Th2Tl5Hg
1.0
-0.8444 4.0010 2.4759
3.0398 -2.7303 5.4489
11.9447 5.0719 -4.1223
Th Tl Hg
4 10 2
Cartesian
7.8099 4.4837 0.0327
6.3301 1.8589 3.7698
1.8270 1.9573 2.0749
12.3130 4.3853 1.7276
0.0000 0.0000 0.0000
7.4922 1.1708 0.6633
10.5001 2.4366 -0.3563
4.4843 -0.0949 1.6829
6.0304 -1.4490 4.3983
8.9541 3.7906 -3.0717
10.8340 5.7533 -0.9875
3.3060 0.5893 4.7901
4.8292 3.2466 1.0154
9.3108 3.0961 2.7871
5.9723 2.5359 -2.0611
1.5199 -1.3651 2.7245
```



Material: Th4TlHg3
Method: DFT, PBE
State: relaxed

Computed properties:
VASP energy in eV per atom: -4.299
Symmetry: Pmma, No. 51
Crystal system: orthorhombic

Structure (POSCAR):
```
Th4TlHg3
1.0
-0.5131 -4.6456 3.4006
5.2923 2.2410 3.8599
-7.1514 5.5913 6.5590
Tl Hg Th
2 6 8
Cartesian
2.6461 1.1205 1.9300
-0.9296 3.9161 5.2095
0.0000 0.0000 0.0000
-3.5757 2.7956 3.2795
-5.6793 1.3350 7.0117
-1.9852 -0.3893 2.9480
-3.0327 2.4598 8.9385
0.6604 0.7269 4.8811
3.7246 -0.6370 4.6040
0.1489 2.1586 7.8835
1.0546 -1.7676 2.6566
-2.5211 1.0280 5.9361
-1.4378 5.3769 8.1907
1.7358 -1.0596 7.5764
-0.9345 -2.1903 5.6289
-4.1080 4.2462 6.2432
```



Material: Th3Tl2Hg6
Method: DFT, PBE
State: relaxed

Computed properties:
VASP energy in eV per atom: -2.602
Symmetry: I4/mmm, No. 139
Crystal system: tetragonal

Structure (POSCAR):
```
Th3Tl2Hg6
1.0
4.4240 0.0000 0.0000
0.0000 4.4240 0.0000
-2.2120 -2.2120 16.0956
Th Tl Hg
3 2 6
Cartesian
0.0000 0.0000 0.0000
2.2120 2.2120 10.7042
0.0000 0.0000 5.3915
0.0000 0.0000 11.5565
2.2120 2.2120 4.5391
0.0000 2.2120 2.3303
2.2120 0.0000 2.3303
2.2120 0.0000 13.7654
0.0000 2.2120 13.7654
2.2120 2.2120 7.5111
0.0000 0.0000 8.5846
```



Material: Th3TlHg2
Method: DFT, PBE
State: relaxed

Computed properties:
VASP energy in eV per atom: -4.401
Symmetry: P4/mmm, No. 123
Crystal system: tetragonal

Structure (POSCAR):
```
Th3TlHg2
1.0
-1.3157 -0.9874 3.0806
3.2220 -0.6980 1.1524
1.1419 12.9033 4.6233
Th Tl Hg
3 1 2
Cartesian
0.0000 0.0000 0.0000
0.7659 8.6554 3.1013
0.3759 4.2478 1.5220
1.5240 5.6089 4.4282
1.9066 9.9322 5.9772
1.1415 1.2857 2.8791
```



Material: Th6TlHg
Method: DFT, PBE
State: relaxed

Computed properties:
VASP energy in eV per atom: -5.842
Symmetry: P-1, No. 2
Crystal system: triclinic

Structure (POSCAR):
```
Th6TlHg
1.0
-5.6517 -0.6904 -6.7434
2.6692 -3.5054 -7.6693
-2.0016 -4.7783 -3.6257
Th Tl Hg
6 1 1
Cartesian
-5.7583 -6.0460 -13.2899
-3.0909 -7.5688 -15.3830
-2.6241 -2.4145 -6.1439
-1.8931 -1.4053 -2.6553
0.7742 -2.9282 -4.7483
-2.3600 -6.5596 -11.8944
-2.4920 -4.4871 -9.0191
0.0000 0.0000 0.0000
```



Material: Th3TlHg
Method: DFT, PBE
State: relaxed

Computed properties:
VASP energy in eV per atom: -5.035
Symmetry: P2_1/m, No. 11
Crystal system: monoclinic

Structure (POSCAR):
```
Th3TlHg
1.0
4.6946 -0.5428 0.0000
-1.2861 9.5070 0.0000
0.0000 0.0000 6.8934
Th Tl Hg
6 2 2
Cartesian
-0.4364 6.5045 3.4842
3.8449 2.4597 3.4092
-0.4364 6.5045 6.8559
3.8449 2.4597 0.0375
1.2492 0.4978 5.1700
2.1593 8.4664 1.7233
1.6863 4.3434 5.1700
1.7222 4.6208 1.7233
2.0754 7.6880 5.1700
1.3331 1.2762 1.7233
```



no.,calculated volume (Å³ per cell)
1,336.8
2,459.5
3,219.8
4,309.9
5,443.3
6,448.2
7,315.0
8,167.8
9,251.3
10,302.9